Record 1
The following is a DFT calculation (PBE-GGA) of crystalline Nd4CdIn3 at its relaxed geometry.

Unit cell a=3.7662 b=3.7662 c=16.3577 alpha=90.00 beta=90.00 gamma=90.00
Positions (direct):
Nd  0.0000  0.0000  0.1225
Nd  0.0000  0.0000  0.3735
Nd  0.0000  0.0000  0.6265
Nd  0.0000  0.0000  0.8775
Cd  0.5000  0.5000  0.0000
In  0.5000  0.5000  0.2457
In  0.5000  0.5000  0.5000
In  0.5000  0.5000  0.7543

## Properties
As for the space group: P4/mmm.

---

Record 2
The following is a DFT calculation (PBE-GGA) of crystalline Nd7CdIn5 at its relaxed geometry.

Unit cell a=8.4023 b=8.4023 c=8.4023 alpha=132.53 beta=102.02 gamma=96.64
Positions (direct):
Nd  0.0000  0.0000  0.0000
Nd  0.2756  0.5913  0.6843
Nd  0.3634  0.3634  0.0000
Nd  0.4092  0.0834  0.3259
Nd  0.7575  0.0834  0.6741
Nd  0.8235  0.3235  0.5000
Nd  0.9070  0.5913  0.3157
Cd  0.6692  0.6692  0.0000
In  0.0816  0.0720  0.4712
In  0.0816  0.6104  0.0095
In  0.3331  0.8331  0.5000
In  0.6009  0.0720  0.9905
In  0.6009  0.6104  0.5288

## Properties
As for the space group: Imm2.

---

Record 3
The following is a DFT calculation (PBE-GGA) of crystalline Nd3Cd4In4 at its relaxed geometry.

Unit cell a=3.8165 b=4.9658 c=15.5301 alpha=81.35 beta=82.96 gamma=89.99
Positions (direct):
Nd  0.0000  0.0000  0.0000
Nd  0.1422  0.6350  0.7163
Nd  0.8578  0.3650  0.2837
Cd  0.2619  0.2680  0.4770
Cd  0.4089  0.9118  0.1853
Cd  0.5911  0.0882  0.8147
Cd  0.7381  0.7320  0.5230
In  0.3133  0.8236  0.3700
In  0.4505  0.4541  0.0954
In  0.5495  0.5459  0.9046
In  0.6867  0.1764  0.6300

## Properties
As for the space group: P-1.

---

Record 4
The following is a DFT calculation (PBE-GGA) of crystalline Nd3Cd2In3 at its relaxed geometry.

Unit cell a=6.2880 b=6.2880 c=15.9031 alpha=90.00 beta=90.00 gamma=134.67
Positions (direct):
Nd  0.0834  0.9166  0.6112
Nd  0.0834  0.9166  0.8888
Nd  0.3488  0.6512  0.7500
Nd  0.6512  0.3488  0.2500
Nd  0.9166  0.0834  0.1112
Nd  0.9166  0.0834  0.3888
Cd  0.2133  0.7867  0.1004
Cd  0.2133  0.7867  0.3996
Cd  0.7867  0.2133  0.6004
Cd  0.7867  0.2133  0.8996
In  0.3641  0.6359  0.2500
In  0.3905  0.6095  0.5434
In  0.3905  0.6095  0.9566
In  0.6095  0.3905  0.0434
In  0.6095  0.3905  0.4566
In  0.6359  0.3641  0.7500

## Properties
As for the space group: Cmcm.

---

Record 5
The following is a DFT calculation (PBE-GGA) of crystalline NdCd2In at its relaxed geometry.

Unit cell a=5.2277 b=5.2277 c=5.2277 alpha=60.00 beta=60.00 gamma=60.00
Positions (direct):
Nd  0.0000  0.0000  0.0000
Cd  0.2500  0.2500  0.2500
Cd  0.7500  0.7500  0.7500
In  0.5000  0.5000  0.5000

## Properties
As for the space group: Fm-3m.

---

Record 6
The following is a DFT calculation (PBE-GGA) of crystalline NdCdIn2 at its relaxed geometry.

Unit cell a=6.0975 b=6.0975 c=6.0975 alpha=46.33 beta=46.33 gamma=46.33
Positions (direct):
Nd  0.0000  0.0000  0.0000
Cd  0.5000  0.5000  0.5000
In  0.2285  0.2285  0.2285
In  0.7715  0.7715  0.7715

## Properties
As for the space group: R-3m.

---

Record 7
The following is a DFT calculation (PBE-GGA) of crystalline Nd4CdIn5 at its relaxed geometry.

Unit cell a=7.5045 b=10.5191 c=7.7375 alpha=90.00 beta=90.00 gamma=90.00
Positions (direct):
Nd  0.0097  0.2500  0.2047
Nd  0.2500  0.5624  0.4788
Nd  0.2500  0.9376  0.4788
Nd  0.4903  0.2500  0.2047
Nd  0.5097  0.7500  0.7953
Nd  0.7500  0.0624  0.5212
Nd  0.7500  0.4376  0.5212
Nd  0.9903  0.7500  0.7953
Cd  0.2500  0.2500  0.5694
Cd  0.7500  0.7500  0.4306
In  0.0547  0.0600  0.8309
In  0.0547  0.4400  0.8309
In  0.2500  0.7500  0.1245
In  0.4453  0.0600  0.8309
In  0.4453  0.4400  0.8309
In  0.5547  0.5600  0.1691
In  0.5547  0.9400  0.1691
In  0.7500  0.2500  0.8755
In  0.9453  0.5600  0.1691
In  0.9453  0.9400  0.1691

## Properties
As for the space group: Pmmn.

---

Record 8
The following is a DFT calculation (PBE-GGA) of crystalline NdCd11In at its relaxed geometry.

Unit cell a=7.7360 b=7.7360 c=7.6811 alpha=98.75 beta=98.75 gamma=134.15
Positions (direct):
Nd  0.0000  0.0000  0.0000
Cd  0.0000  0.0000  0.5000
Cd  0.0000  0.5000  0.0000
Cd  0.0056  0.6506  0.6484
Cd  0.2808  0.4931  0.7904
Cd  0.3494  0.9944  0.3516
Cd  0.4931  0.2808  0.7904
Cd  0.5000  0.0000  0.0000
Cd  0.5069  0.7192  0.2096
Cd  0.6506  0.0056  0.6484
Cd  0.7192  0.5069  0.2096
Cd  0.9944  0.3494  0.3516
In  0.5000  0.5000  0.5000

## Properties
As for the space group: C2/m.

---

Going through the records in order, we get total energy values of -31.80; -51.52; -32.85; -55.52; -10.44; -12.32; -70.56; -18.77 eV/cell.
Going through the records in order, we get magnetic moment values of 0.000; 0.000; 0.000; 0.045; 0.000; 0.000; 0.000; 0.000 μB/atom.
Going through the records in order, we get E_form values of -0.450; -0.272; -0.357; -0.426; -0.277; -0.290; -0.160; -0.092 eV/atom.